Entry 1:
A plane-wave DFT calculation with PBE was carried out for a geometry-optimized Ho8HgIr2 structure.

```
Ho8HgIr2
1.0
-2.3150 4.8835 0.8360
1.2295 0.7533 -7.7004
-6.2498 -4.4034 1.7102
Ho Ir Hg
8 2 1
Direct
0.4166 0.9346 0.6728 Ho
0.0000 0.7587 0.2483 Ho
0.5837 0.0717 0.3337 Ho
0.0000 0.2483 0.7587 Ho
0.1972 0.3834 0.3834 Ho
0.4166 0.6728 0.9346 Ho
0.5837 0.3337 0.0717 Ho
0.8023 0.6220 0.6220 Ho
0.4997 0.3131 0.6930 Ir
0.4997 0.6930 0.3131 Ir
0.0001 0.0026 0.0026 Hg
```

Properties
E_tot   -59.3 eV for the cell shown
Fermi-level density of states   1.056 states/eV per atom

Entry 2:
A plane-wave DFT calculation with PBE was carried out for a geometry-optimized NpSiHPt structure.

```
NpSiHPt
1.0
-4.0557 1.2430 -0.6024
0.9746 -2.6367 3.2333
0.5807 2.9928 2.2655
H Si Np Pt
1 1 1 1
Direct
0.2386 0.4772 0.3094 H
0.9052 0.8105 0.8102 Si
0.5719 0.1438 0.3100 Np
0.2386 0.4772 0.8096 Pt
```

Properties
E_tot   -29.7 eV for the cell shown
Fermi-level density of states   2.243 states/eV per atom

Entry 3:
A plane-wave DFT calculation with PBE was carried out for a geometry-optimized YScSbTe2 structure.

```
YScSbTe2
1.0
-4.3109 -3.3079 0.6608
3.3570 -4.1022 1.3655
-0.3305 1.4830 5.2678
Sc Sb Y Te
1 1 1 2
Direct
0.0000 0.0000 0.0000 Sc
0.0000 0.0000 0.5000 Sb
0.5000 0.5000 0.5000 Y
0.0000 0.5000 0.0000 Te
0.5000 0.0000 0.0000 Te
```

Properties
ΔE_f (raw)   -411 meV per atom
Fermi-level density of states   0.696 states/eV per atom
ΔE to the lowest computed polymorph   0 kJ/mol of formula units

Entry 4:
A plane-wave DFT calculation with PBE was carried out for a geometry-optimized TiTe2PbN structure.

```
TiTe2PbN
1.0
-1.4857 -3.4409 -4.5261
2.4301 -4.6135 2.7098
-3.6688 -0.8469 1.8481
Ti Pb Te N
1 1 2 1
Direct
0.5000 0.5000 0.5000 Ti
0.0000 0.0000 0.0000 Pb
0.5000 0.0000 0.0000 Te
0.0000 0.5000 0.0000 Te
0.0000 0.0000 0.5000 N
```

Properties
ΔE_f (raw)   1123 meV per atom
Fermi-level density of states   1.111 states/eV per atom
ΔE to the lowest computed polymorph   633 kJ/mol of formula units

Entry 5:
A plane-wave DFT calculation with PBE was carried out for a geometry-optimized Rb2PbSeBr6 structure.

```
Rb2PbSeBr6
1.0
7.8443 0.0000 0.0000
0.0000 7.8443 0.0000
3.9221 3.9221 6.7076
Br Pb Rb Se
6 1 2 1
Direct
0.7336 0.2664 0.0000 Br
0.7336 0.7336 0.0000 Br
0.2201 0.2201 0.5599 Br
0.2664 0.2664 0.0000 Br
0.7799 0.7799 0.4401 Br
0.2664 0.7336 0.0000 Br
0.0000 0.0000 0.0000 Pb
0.2500 0.7500 0.5000 Rb
0.7500 0.2500 0.5000 Rb
0.5000 0.5000 0.0000 Se
```

Properties
ΔE_f (raw)   -921 meV per atom
Fermi-level density of states   0.000 states/eV per atom

Entry 6:
A plane-wave DFT calculation with PBE was carried out for a geometry-optimized Ca2CdGe structure.

```
Ca2CdGe
1.0
5.0144 0.0000 0.0000
0.0000 5.0144 0.0000
2.5072 2.5072 10.0133
Cd Ge Ca
2 2 4
Direct
0.0000 0.0000 0.0000 Cd
0.7500 0.2500 0.5000 Cd
0.5000 0.5000 0.0000 Ge
0.2500 0.7500 0.5000 Ge
0.3750 0.3936 0.7500 Ca
0.6064 0.1250 0.2500 Ca
0.8750 0.8564 0.7500 Ca
0.1436 0.6250 0.2500 Ca
```

Properties
E_tot   -18.6 eV for the cell shown
Fermi-level density of states   0.804 states/eV per atom

Entry 7:
A plane-wave DFT calculation with PBE was carried out for a geometry-optimized Tb4Ho5Sc2 structure.

```
Tb4Ho5Sc2
1.0
1.0687 2.9595 -1.7769
5.1555 -7.7824 -2.5047
-11.8655 -7.5902 -1.4121
Sc Ho Tb
2 5 4
Direct
0.4713 0.4738 0.7989 Sc
0.5287 0.5262 0.2011 Sc
0.1887 0.3445 0.5378 Ho
0.8113 0.6555 0.4622 Ho
0.2791 0.9313 0.3390 Ho
0.7209 0.0687 0.6610 Ho
0.5000 0.0000 0.0000 Ho
0.8229 0.7058 0.0469 Tb
0.1771 0.2942 0.9531 Tb
0.8797 0.2393 0.2564 Tb
0.1203 0.7607 0.7436 Tb
```

Properties
Fermi-level density of states   1.415 states/eV per atom
ΔE to the lowest computed polymorph   0 kJ/mol of formula units

Entry 8:
A plane-wave DFT calculation with PBE was carried out for a geometry-optimized Sr3NCl3 structure.

```
Sr3NCl3
1.0
-2.1285 7.4874 -0.4829
-5.3484 -5.0990 -2.4940
-1.5830 -0.7609 7.2967
Cl N Sr
6 2 6
Direct
0.2611 0.7389 0.0000 Cl
0.7389 0.2611 0.0000 Cl
0.1796 0.8204 0.5000 Cl
0.6189 0.6189 0.3603 Cl
0.3811 0.3811 0.6397 Cl
0.8204 0.1796 0.5000 Cl
0.1809 0.1809 0.1366 N
0.8191 0.8191 0.8634 N
0.1720 0.4541 0.2635 Sr
0.5459 0.8280 0.7365 Sr
0.0953 0.0953 0.8144 Sr
0.9047 0.9047 0.1856 Sr
0.8280 0.5459 0.7365 Sr
0.4541 0.1720 0.2635 Sr
```

Properties
ΔE_f (raw)   -1785 meV per atom
ΔE to the lowest computed polymorph   40 kJ/mol of formula units